1.
The following is a DFT calculation (PBE) of crystalline Pm4Pr3Y at its relaxed geometry.

Total energy ... -38.65 eV per formula unit
Energy of formation from the pure elements ... 145 meV per atom
Energy above the most stable polymorph in this dataset ... 115 meV/atom
Total moment ... 0.00 μB/cell
Space group ... C2/m, No. 12

Cell lengths 3.536, 6.957, 12.100 Å; angles 106.72, 98.40, 90.00 degrees
Sites, in units of the cell vectors:
Pr  0.875  0.115  0.750
Pr  0.000  0.500  0.000
Pr  0.125  0.885  0.250
Pm  0.124  0.365  0.249
Pm  0.876  0.635  0.751
Pm  0.742  0.246  0.484
Pm  0.258  0.754  0.516
Y  0.500  0.000  0.000

=====

2.
The following is a DFT calculation (PBE) of crystalline VH2 at its relaxed geometry.

Total energy ... -15.47 eV per formula unit
Total moment ... 0.00 μB/cell
Space group ... I4/mmm, No. 139

Cell lengths 2.684, 2.684, 3.135 Å; angles 115.34, 115.34, 90.00 degrees
Sites, in units of the cell vectors:
H  0.646  0.646  0.292
H  0.354  0.354  0.708
V  0.000  0.000  0.000

=====

3.
The following is a DFT calculation (PBE) of crystalline Pr2Sm3Dy2 at its relaxed geometry.

Total energy ... -32.81 eV per formula unit
Energy of formation from the pure elements ... 15 meV per atom
Energy above the most stable polymorph in this dataset ... 0 meV/atom
Total moment ... 0.00 μB/cell
Space group ... P-1, No. 2

Cell lengths 3.636, 10.890, 6.257 Å; angles 95.43, 73.21, 89.98 degrees
Sites, in units of the cell vectors:
Dy  0.571  0.712  0.860
Dy  0.429  0.288  0.140
Sm  0.143  0.430  0.716
Sm  0.000  0.000  0.000
Sm  0.857  0.570  0.284
Pr  0.284  0.855  0.431
Pr  0.716  0.145  0.569

=====

4.
The following is a DFT calculation (PBE) of crystalline KCoPt3 at its relaxed geometry.

Total energy ... -14.16 eV per formula unit
Energy of formation from the pure elements ... 2433 meV per atom
Energy above the most stable polymorph in this dataset ... 1860 meV/atom
Total moment ... 2.21 μB/cell
Space group ... Pm-3m, No. 221

Cell lengths 4.900, 4.900, 4.900 Å; angles 90.00, 90.00, 90.00 degrees
Sites, in units of the cell vectors:
K  0.000  0.000  0.000
Pt  0.000  0.500  0.000
Pt  0.500  0.000  0.000
Pt  0.000  0.000  0.500
Co  0.500  0.500  0.500

=====

5.
The following is a DFT calculation (PBE) of crystalline VHS2 at its relaxed geometry.

Total energy ... -21.13 eV per formula unit
Energy above the most stable polymorph in this dataset ... 557 meV/atom
Total moment ... 3.86 μB/cell
Space group ... I-42d, No. 122

Cell lengths 5.036, 5.036, 6.112 Å; angles 65.67, 65.67, 90.00 degrees
Sites, in units of the cell vectors:
V  0.000  0.000  0.000
V  0.750  0.250  0.500
H  0.250  0.750  0.500
H  0.500  0.500  0.000
S  0.594  0.125  0.250
S  0.375  0.406  0.750
S  0.875  0.844  0.750
S  0.156  0.625  0.250

=====

6.
The following is a DFT calculation (PBE) of crystalline Ac2BeAs at its relaxed geometry.

Total energy ... -17.97 eV per formula unit
Energy of formation from the pure elements ... -345 meV per atom
Energy above the most stable polymorph in this dataset ... 0 meV/atom
Total moment ... 0.00 μB/cell
Space group ... P4/mmm, No. 123

Cell lengths 3.935, 5.316, 5.316 Å; angles 90.00, 90.00, 90.00 degrees
Sites, in units of the cell vectors:
Ac  0.000  0.500  0.000
Ac  0.000  0.000  0.500
As  0.500  0.500  0.500
Be  0.500  0.000  0.000

=====

Please write out number 2 again, unchanged.
The following is a DFT calculation (PBE) of crystalline VH2 at its relaxed geometry.

Total energy ... -15.47 eV per formula unit
Total moment ... 0.00 μB/cell
Space group ... I4/mmm, No. 139

Cell lengths 2.684, 2.684, 3.135 Å; angles 115.34, 115.34, 90.00 degrees
Sites, in units of the cell vectors:
H  0.646  0.646  0.292
H  0.354  0.354  0.708
V  0.000  0.000  0.000

=====

Copy entry 2 word for word.
The following is a DFT calculation (PBE) of crystalline VH2 at its relaxed geometry.

Total energy ... -15.47 eV per formula unit
Total moment ... 0.00 μB/cell
Space group ... I4/mmm, No. 139

Cell lengths 2.684, 2.684, 3.135 Å; angles 115.34, 115.34, 90.00 degrees
Sites, in units of the cell vectors:
H  0.646  0.646  0.292
H  0.354  0.354  0.708
V  0.000  0.000  0.000